PaH3Cl6 after structural relaxation. Source: the Alexandria database, functional GGA-PBE.

Values from the calculation:
**Space-group type**: R-3
**DOS(E_F)**: 2.50 states/eV/f.u.
**Magnetization**: 2.00 μB/f.u.
**Calculated total energy**: -3.9623 eV per atom

abc: 8.4811 8.4811 8.4811
angles: 99.37 99.37 99.37
With the nearest neighbours (Å) after each atom.
Element x y z (fractional)
1 Pa 0.0000 0.0000 0.0000  6 Cl 2.78
2 Pa 0.5000 0.5000 0.5000  6 Cl 2.79
3 H 0.0641 0.3551 0.3277  2 Cl 1.56
4 H 0.3277 0.0641 0.3551  2 Cl 1.56
5 H 0.3551 0.3277 0.0641  2 Cl 1.56
6 H 0.6449 0.6723 0.9359  2 Cl 1.56
7 H 0.6723 0.9359 0.6449  2 Cl 1.56
8 H 0.9359 0.6449 0.6723  2 Cl 1.56
9 Cl 0.0575 0.8120 0.7218  1 H 1.56
10 Cl 0.1812 0.5253 0.3781  1 H 1.56
11 Cl 0.1880 0.2782 0.9425  1 H 1.56
12 Cl 0.2782 0.9425 0.1880  1 H 1.56
13 Cl 0.3781 0.1812 0.5253  1 H 1.56
14 Cl 0.4747 0.6219 0.8188  1 H 1.56
15 Cl 0.5253 0.3781 0.1812  1 H 1.56
16 Cl 0.6219 0.8188 0.4747  1 H 1.56
17 Cl 0.7218 0.0575 0.8120  1 H 1.56
18 Cl 0.8120 0.7218 0.0575  1 H 1.56
19 Cl 0.8188 0.4747 0.6219  1 H 1.56
20 Cl 0.9425 0.1880 0.2782  1 H 1.56

PaH2Cl6 after structural relaxation. Source: the Alexandria database, functional GGA-PBE.

Values from the calculation:
**Space-group type**: P2_1/c
**DOS(E_F)**: 1.07 states/eV/f.u.
**Magnetization**: 1.00 μB/f.u.
**Excess energy over the best structure of this formula in the dataset**: 0.000 eV per atom

abc: 6.0177 7.5320 13.5633
angles: 90.00 114.41 90.00
With the nearest neighbours (Å) after each atom.
Element x y z (fractional)
1 Pa 0.0000 0.0000 0.0000  6 Cl 2.54-2.79
2 Pa 0.0000 0.5000 0.5000  6 Cl 2.54-2.79
3 H 0.3479 0.0587 0.8503  2 Cl 1.49-1.65
4 H 0.3479 0.4413 0.3503  2 Cl 1.49-1.65
5 H 0.6521 0.5587 0.6497  2 Cl 1.49-1.65
6 H 0.6521 0.9413 0.1497  2 Cl 1.49-1.65
7 Cl 0.1196 0.5463 0.3234  1 H 1.49
8 Cl 0.1196 0.9537 0.8234  1 H 1.49
9 Cl 0.2380 0.2111 0.5480  1 Pa 2.54
10 Cl 0.2380 0.2889 0.0480  1 Pa 2.54
11 Cl 0.4093 0.6807 0.6275  1 H 1.65
12 Cl 0.4093 0.8193 0.1275  1 H 1.65
13 Cl 0.5907 0.1807 0.8725  1 H 1.65
14 Cl 0.5907 0.3193 0.3725  1 H 1.65
15 Cl 0.7620 0.7111 0.9520  1 Pa 2.54
16 Cl 0.7620 0.7889 0.4520  1 Pa 2.54
17 Cl 0.8804 0.0463 0.1766  1 H 1.49
18 Cl 0.8804 0.4537 0.6766  1 H 1.49

Which of these has the highest magnetization?
PaH3Cl6

Copy entry 2 word for word.
PaH2Cl6 after structural relaxation. Source: the Alexandria database, functional GGA-PBE.

Values from the calculation:
**Space-group type**: P2_1/c
**DOS(E_F)**: 1.07 states/eV/f.u.
**Magnetization**: 1.00 μB/f.u.
**Excess energy over the best structure of this formula in the dataset**: 0.000 eV per atom

abc: 6.0177 7.5320 13.5633
angles: 90.00 114.41 90.00
With the nearest neighbours (Å) after each atom.
Element x y z (fractional)
1 Pa 0.0000 0.0000 0.0000  6 Cl 2.54-2.79
2 Pa 0.0000 0.5000 0.5000  6 Cl 2.54-2.79
3 H 0.3479 0.0587 0.8503  2 Cl 1.49-1.65
4 H 0.3479 0.4413 0.3503  2 Cl 1.49-1.65
5 H 0.6521 0.5587 0.6497  2 Cl 1.49-1.65
6 H 0.6521 0.9413 0.1497  2 Cl 1.49-1.65
7 Cl 0.1196 0.5463 0.3234  1 H 1.49
8 Cl 0.1196 0.9537 0.8234  1 H 1.49
9 Cl 0.2380 0.2111 0.5480  1 Pa 2.54
10 Cl 0.2380 0.2889 0.0480  1 Pa 2.54
11 Cl 0.4093 0.6807 0.6275  1 H 1.65
12 Cl 0.4093 0.8193 0.1275  1 H 1.65
13 Cl 0.5907 0.1807 0.8725  1 H 1.65
14 Cl 0.5907 0.3193 0.3725  1 H 1.65
15 Cl 0.7620 0.7111 0.9520  1 Pa 2.54
16 Cl 0.7620 0.7889 0.4520  1 Pa 2.54
17 Cl 0.8804 0.0463 0.1766  1 H 1.49
18 Cl 0.8804 0.4537 0.6766  1 H 1.49